Arrangement w

A plane-wave DFT calculation with PBE-GGA was carried out for a relaxed Sr2Ag2Rh crystal.

- Mass density: 5836 kg/m³

Cell: 8.112 8.112 4.271 Å, 90.00 90.00 90.00°
Space group P4/mbm (No. 127)
Unique sites:
1 Sr 0.178 0.322 0.000 [4 per cell]
2 Ag 0.122 0.622 0.500 [4 per cell]
3 Rh 0.000 0.000 0.000 [2 per cell]

***

Arrangement x

A plane-wave DFT calculation with PBE-GGA was carried out for a relaxed Sr2Ag2Rh crystal.

- Mass density: 6139 kg/m³

Cell: 3.811 3.811 18.400 Å, 90.00 90.00 90.00°
Space group I4/mmm (No. 139)
Unique sites:
1 Sr 0.000 0.000 0.095 [4 per cell]
2 Ag 0.000 0.500 0.250 [4 per cell]
3 Rh 0.000 0.000 0.500 [2 per cell]

***

So which one is most stable? That would be arrangement x, about 0.249 eV/atom below the next structure.

***

Arrangement w

A plane-wave DFT calculation with PBE-GGA was carried out for a relaxed Sr2Ag2Rh crystal.

- Mass density: 6109 kg/m³

Cell: 11.277 4.333 11.873 Å, 90.00 112.25 90.00°
Space group C2/m (No. 12)
Unique sites:
1 Sr 0.005 0.000 0.161 [4 per cell]
2 Sr 0.193 0.000 0.628 [4 per cell]
3 Ag 0.031 0.500 0.394 [4 per cell]
4 Ag 0.190 0.500 0.049 [4 per cell]
5 Rh 0.188 0.500 0.809 [4 per cell]

***

Arrangement x

A plane-wave DFT calculation with PBE-GGA was carried out for a relaxed Sr2Ag2Rh crystal.

- Mass density: 6337 kg/m³

Cell: 7.433 7.433 4.685 Å, 90.00 90.00 90.00°
Space group P4/mbm (No. 127)
Unique sites:
1 Sr 0.182 0.318 0.000 [4 per cell]
2 Ag 0.133 0.633 0.500 [4 per cell]
3 Rh 0.000 0.000 0.500 [2 per cell]

***

So which one is most stable? That would be arrangement w, about 0.137 eV/atom below the next structure.

***

Arrangement w

A plane-wave DFT calculation with PBE-GGA was carried out for a relaxed SrAgRh3 crystal.

- Mass density: 7040 kg/m³

Cell: 4.918 4.918 4.918 Å, 90.00 90.00 90.00°
Space group Pm-3m (No. 221)
Unique sites:
1 Sr 0.000 0.000 0.000 [1 per cell]
2 Ag 0.500 0.500 0.500 [1 per cell]
3 Rh 0.000 0.500 0.500 [3 per cell]

***

Arrangement x

A plane-wave DFT calculation with PBE-GGA was carried out for a relaxed SrAgRh3 crystal.

- Mass density: 6977 kg/m³

Cell: 4.932 4.932 4.932 Å, 90.00 90.00 90.00°
Space group Pm-3m (No. 221)
Unique sites:
1 Sr 0.000 0.000 0.000 [1 per cell]
2 Ag 0.500 0.500 0.500 [1 per cell]
3 Rh 0.000 0.000 0.500 [3 per cell]

***

So which one is most stable? That would be arrangement w, about 0.813 eV/atom below the next structure.

***

Arrangement w

A plane-wave DFT calculation with PBE-GGA was carried out for a relaxed TaAgRh crystal.

- Mass density: 11237 kg/m³

Cell: 6.141 6.141 6.141 Å, 90.00 90.00 90.00°
Space group F-43m (No. 216)
Unique sites:
1 Ta 0.000 0.000 0.000 [4 per cell]
2 Ag 0.000 0.000 0.500 [4 per cell]
3 Rh 0.250 0.250 0.750 [4 per cell]

***

Arrangement x

A plane-wave DFT calculation with PBE-GGA was carried out for a relaxed TaAgRh crystal.

- Mass density: 11115 kg/m³

Cell: 6.163 6.163 6.163 Å, 90.00 90.00 90.00°
Space group F-43m (No. 216)
Unique sites:
1 Ta 0.000 0.000 0.000 [4 per cell]
2 Ag 0.250 0.250 0.250 [4 per cell]
3 Rh 0.250 0.250 0.750 [4 per cell]

***

So which one is most stable? That would be arrangement w, about 0.146 eV/atom below the next structure.

***

Arrangement w

A plane-wave DFT calculation with PBE-GGA was carried out for a relaxed Ta2AgRh2 crystal.

- Mass density: 13178 kg/m³

Cell: 7.642 7.642 2.916 Å, 90.00 90.00 90.00°
Space group P4/mbm (No. 127)
Unique sites:
1 Ta 0.162 0.338 0.000 [4 per cell]
2 Ag 0.000 0.000 0.500 [2 per cell]
3 Rh 0.134 0.634 0.500 [4 per cell]

***

Arrangement x

A plane-wave DFT calculation with PBE-GGA was carried out for a relaxed Ta2AgRh2 crystal.

- Mass density: 12920 kg/m³

Cell: 7.821 7.821 2.839 Å, 90.00 90.00 90.00°
Space group P4/mbm (No. 127)
Unique sites:
1 Ta 0.147 0.353 0.000 [4 per cell]
2 Ag 0.000 0.000 0.000 [2 per cell]
3 Rh 0.145 0.645 0.500 [4 per cell]

***

So which one is most stable? That would be arrangement w, about 0.118 eV/atom below the next structure.

***

Arrangement w

A plane-wave DFT calculation with PBE-GGA was carried out for a relaxed TaAg3Rh crystal.

- Mass density: 8025 kg/m³

Cell: 5.009 5.009 5.009 Å, 90.00 90.00 90.00°
Space group Pm-3m (No. 221)
Unique sites:
1 Ta 0.000 0.000 0.000 [1 per cell]
2 Ag 0.000 0.000 0.500 [3 per cell]
3 Rh 0.500 0.500 0.500 [1 per cell]

***

Arrangement x

A plane-wave DFT calculation with PBE-GGA was carried out for a relaxed TaAg3Rh crystal.

- Mass density: 8770 kg/m³

Cell: 4.863 4.863 4.863 Å, 90.00 90.00 90.00°
Space group Pm-3m (No. 221)
Unique sites:
1 Ta 0.000 0.000 0.000 [1 per cell]
2 Ag 0.000 0.500 0.500 [3 per cell]
3 Rh 0.500 0.500 0.500 [1 per cell]

***

So which one is most stable? That would be arrangement x, about 0.210 eV/atom below the next structure.

***

Arrangement w

A plane-wave DFT calculation with PBE-GGA was carried out for a relaxed Ta3AgRh crystal.

- Mass density: 11166 kg/m³

Cell: 4.821 4.821 4.821 Å, 90.00 90.00 90.00°
Space group Pm-3m (No. 221)
Unique sites:
1 Ta 0.000 0.000 0.500 [3 per cell]
2 Ag 0.000 0.000 0.000 [1 per cell]
3 Rh 0.500 0.500 0.500 [1 per cell]

***

Arrangement x

A plane-wave DFT calculation with PBE-GGA was carried out for a relaxed Ta3AgRh crystal.

- Mass density: 11305 kg/m³

Cell: 4.801 4.801 4.801 Å, 90.00 90.00 90.00°
Space group Pm-3m (No. 221)
Unique sites:
1 Ta 0.000 0.000 0.500 [3 per cell]
2 Ag 0.500 0.500 0.500 [1 per cell]
3 Rh 0.000 0.000 0.000 [1 per cell]

***

So which one is most stable? That would be arrangement x, about 0.967 eV/atom below the next structure.

***

Arrangement w

A plane-wave DFT calculation with PBE-GGA was carried out for a relaxed Tb12AgRh6 crystal.

- Mass density: 9016 kg/m³

Cell: 9.898 9.898 9.898 Å, 90.00 90.00 90.00°
Space group Im-3 (No. 204)
Unique sites:
1 Tb 0.000 0.301 0.188 [24 per cell]
2 Ag 0.000 0.000 0.000 [2 per cell]
3 Rh 0.000 0.132 0.500 [12 per cell]

***

Arrangement x

A plane-wave DFT calculation with PBE-GGA was carried out for a relaxed Tb12AgRh6 crystal.

- Mass density: 8294 kg/m³

Cell: 12.8477 12.8477 11.0600 Å, 90.00 90.00 120.00°
Space group R-3 (No. 148, hexagonal axes)
Unique sites:
1 Tb 0.0317 0.8202 0.3861 [18 per cell]
2 Tb 0.0380 0.8188 0.8873 [18 per cell]
3 Ag 0.0000 0.0000 0.0000 [3 per cell]
4 Rh 0.0464 0.7854 0.6460 [18 per cell]

***

So which one is most stable? That would be arrangement w, about 0.050 eV/atom below the next structure.

***

Arrangement w

A plane-wave DFT calculation with PBE-GGA was carried out for a relaxed Tb3Ag2Rh crystal.

- Mass density: 8509 kg/m³

Cell: 14.085 5.814 7.896 Å, 90.00 106.22 90.00°
Space group C2/c (No. 15)
Unique sites:
1 Tb 0.000 0.001 0.250 [4 per cell]
2 Tb 0.140 0.498 0.070 [8 per cell]
3 Ag 0.182 0.002 0.591 [8 per cell]
4 Rh 0.000 0.499 0.750 [4 per cell]

***

Arrangement x

A plane-wave DFT calculation with PBE-GGA was carried out for a relaxed Tb3Ag2Rh crystal.

- Mass density: 9620 kg/m³

Cell: 5.0430 5.0430 6.2337 Å, 90.00 90.00 120.00°
Space group P-3m1 (No. 164)
Unique sites:
1 Tb 0.0000 0.0000 0.0000 [1 per cell]
2 Tb 0.3333 0.6667 0.6480 [2 per cell]
3 Ag 0.3333 0.6667 0.1510 [2 per cell]
4 Rh 0.0000 0.0000 0.5000 [1 per cell]

***

So which one is most stable? That would be arrangement x, about 0.146 eV/atom below the next structure.

***

Arrangement w

A plane-wave DFT calculation with PBE-GGA was carried out for a relaxed Tb6AgRh5 crystal.

- Mass density: 9565 kg/m³

Cell: 7.186 10.922 7.176 Å, 90.00 103.68 90.00°
Space group C2/m (No. 12)
Unique sites:
1 Tb 0.198 0.000 0.210 [4 per cell]
2 Tb 0.219 0.179 0.715 [8 per cell]
3 Ag 0.000 0.500 0.000 [2 per cell]
4 Rh 0.000 0.000 0.500 [2 per cell]
5 Rh 0.000 0.208 0.000 [4 per cell]
6 Rh 0.000 0.374 0.500 [4 per cell]

***

Arrangement x

A plane-wave DFT calculation with PBE-GGA was carried out for a relaxed Tb6AgRh5 crystal.

- Mass density: 10409 kg/m³

Cell: 4.908 6.949 14.742 Å, 90.00 90.00 90.00°
Space group Immm (No. 71)
Unique sites:
1 Tb 0.000 0.241 0.000 [4 per cell]
2 Tb 0.000 0.254 0.330 [8 per cell]
3 Ag 0.000 0.000 0.500 [2 per cell]
4 Rh 0.000 0.000 0.166 [4 per cell]
5 Rh 0.000 0.500 0.166 [4 per cell]
6 Rh 0.000 0.500 0.500 [2 per cell]

***

So which one is most stable? That would be arrangement x, about 0.166 eV/atom below the next structure.

***

Arrangement w

A plane-wave DFT calculation with PBE-GGA was carried out for a relaxed Tb4AgRh crystal.

- Mass density: 9096 kg/m³

Cell: 13.522 13.522 13.522 Å, 90.00 90.00 90.00°
Space group F-43m (No. 216)
Unique sites:
1 Tb 0.000 0.000 0.186 [24 per cell]
2 Tb 0.062 0.250 0.750 [24 per cell]
3 Tb 0.103 0.103 0.397 [16 per cell]
4 Ag 0.168 0.168 0.168 [16 per cell]
5 Rh 0.107 0.107 0.607 [16 per cell]

***

Arrangement x

A plane-wave DFT calculation with PBE-GGA was carried out for a relaxed Tb4AgRh crystal.

- Mass density: 7387 kg/m³

Cell: 9.514 9.514 8.410 Å, 90.00 90.00 90.00°
Space group I4_1md (No. 109)
Unique sites:
1 Tb 0.000 0.293 0.000 [8 per cell]
2 Tb 0.000 0.305 0.464 [8 per cell]
3 Ag 0.000 0.000 0.485 [4 per cell]
4 Rh 0.000 0.000 0.978 [4 per cell]

***

So which one is most stable? That would be arrangement w, about 0.270 eV/atom below the next structure.